Below is a relaxed HgTePtI2 crystal, with properties calculated at the PBE level.

## Properties
The crystal system is tetragonal. Its uncorrected formation energy is 0.93 eV per formula unit. Its energy above the most stable polymorph in this dataset is 0.000 eV per atom. Its calculated total energy is -11.66 eV per cell.

The structure in CIF format:
```
data_HgTePtI2
_chemical_formula_sum 'Hg1 Te1 Pt1 I2'
_space_group_name_H-M_alt 'P 4/m m m'
_space_group_IT_number 123
_space_group_name_Hall '-P 4 2'
_cell_length_a 5.672
_cell_length_b 5.672
_cell_length_c 5.218
_cell_angle_alpha 90.00
_cell_angle_beta 90.00
_cell_angle_gamma 90.00
loop_
_atom_site_label
_atom_site_type_symbol
_atom_site_fract_x
_atom_site_fract_y
_atom_site_fract_z
Hg1 Hg 0.000 0.000 0.000
Te1 Te 0.500 0.500 0.000
Pt1 Pt 0.500 0.500 0.500
I1 I 0.000 0.500 0.500
```

=====

Below is a relaxed Tl2HgPtI crystal, with properties calculated at the PBE level.

## Properties
The crystal system is tetragonal. Its uncorrected formation energy is -1.48 eV per formula unit. Its calculated total energy is -14.10 eV per cell.

The structure in CIF format:
```
data_Tl2HgPtI
_chemical_formula_sum 'Tl2 Hg1 Pt1 I1'
_space_group_name_H-M_alt 'P 4/m m m'
_space_group_IT_number 123
_space_group_name_Hall '-P 4 2'
_cell_length_a 5.447
_cell_length_b 5.447
_cell_length_c 5.392
_cell_angle_alpha 90.00
_cell_angle_beta 90.00
_cell_angle_gamma 90.00
loop_
_atom_site_label
_atom_site_type_symbol
_atom_site_fract_x
_atom_site_fract_y
_atom_site_fract_z
Tl1 Tl 0.000 0.500 0.000
Hg1 Hg 0.000 0.000 0.500
Pt1 Pt 0.000 0.000 0.000
I1 I 0.500 0.500 0.500
```

=====

Below is a relaxed PuHgI6 crystal, with properties calculated at the PBE level.

## Properties
The crystal system is trigonal. Its uncorrected formation energy is -4.49 eV per formula unit. Its energy above the most stable polymorph in this dataset is 0.011 eV per atom. Its calculated total energy is -85.28 eV per cell.

The structure in CIF format:
```
data_PuHgI6
_chemical_formula_sum 'Pu3 Hg3 I18'
_space_group_name_H-M_alt 'R -3'
_space_group_IT_number 148
_space_group_name_Hall '-R 3'
_cell_length_a 7.5329
_cell_length_b 7.5329
_cell_length_c 20.7340
_cell_angle_alpha 90.00
_cell_angle_beta 90.00
_cell_angle_gamma 120.00
loop_
_atom_site_label
_atom_site_type_symbol
_atom_site_fract_x
_atom_site_fract_y
_atom_site_fract_z
Pu1 Pu 0.0000 0.0000 0.0000
Hg1 Hg 0.0000 0.0000 0.5000
I1 I 0.0016 0.3280 0.9171
```

=====

Below is a relaxed Pu2Hg2I5 crystal, with properties calculated at the PBE level.

## Properties
The crystal system is orthorhombic. Its uncorrected formation energy is -6.83 eV per formula unit. Its calculated total energy is -175.40 eV per cell.

The structure in CIF format:
```
data_Pu2Hg2I5
_chemical_formula_sum 'Pu8 Hg8 I20'
_space_group_name_H-M_alt 'F m m m'
_space_group_IT_number 69
_space_group_name_Hall '-F 2 2'
_cell_length_a 8.535
_cell_length_b 14.822
_cell_length_c 17.219
_cell_angle_alpha 90.00
_cell_angle_beta 90.00
_cell_angle_gamma 90.00
loop_
_atom_site_label
_atom_site_type_symbol
_atom_site_fract_x
_atom_site_fract_y
_atom_site_fract_z
Pu1 Pu 0.000 0.205 0.000
Hg1 Hg 0.000 0.000 0.259
I1 I 0.000 0.000 0.000
I2 I 0.250 0.250 0.124
```

=====

Below is a relaxed Pu2HgI4 crystal, with properties calculated at the PBE level.

## Properties
The crystal system is trigonal. Its uncorrected formation energy is -6.29 eV per formula unit. Its calculated total energy is -124.38 eV per cell.

The structure in CIF format:
```
data_Pu2HgI4
_chemical_formula_sum 'Pu6 Hg3 I12'
_space_group_name_H-M_alt 'R -3 m'
_space_group_IT_number 166
_space_group_name_Hall '-R 3 2"'
_cell_length_a 4.3129
_cell_length_b 4.3129
_cell_length_c 55.2544
_cell_angle_alpha 90.00
_cell_angle_beta 90.00
_cell_angle_gamma 120.00
loop_
_atom_site_label
_atom_site_type_symbol
_atom_site_fract_x
_atom_site_fract_y
_atom_site_fract_z
Pu1 Pu 0.0000 0.0000 0.0702
Hg1 Hg 0.0000 0.0000 0.5000
I1 I 0.0000 0.0000 0.2279
I2 I 0.0000 0.0000 0.3682
```

=====

Below is a relaxed PuHg3I9 crystal, with properties calculated at the PBE level.

## Properties
The crystal system is monoclinic. Its uncorrected formation energy is -6.22 eV per formula unit. Its calculated total energy is -141.64 eV per cell.

The structure in CIF format:
```
data_PuHg3I9
_chemical_formula_sum 'Pu4 Hg12 I36'
_space_group_name_H-M_alt 'C 1 c 1'
_space_group_IT_number 9
_space_group_name_Hall 'C -2yc'
_cell_length_a 20.651
_cell_length_b 10.714
_cell_length_c 14.890
_cell_angle_alpha 90.00
_cell_angle_beta 129.18
_cell_angle_gamma 90.00
loop_
_atom_site_label
_atom_site_type_symbol
_atom_site_fract_x
_atom_site_fract_y
_atom_site_fract_z
Pu1 Pu 0.000 0.230 0.000
Hg1 Hg 0.137 0.430 0.831
Hg2 Hg 0.268 0.073 0.781
Hg3 Hg 0.369 0.385 0.677
I1 I 0.006 0.069 0.181
I2 I 0.102 0.473 0.122
I3 I 0.139 0.032 0.063
I4 I 0.199 0.353 0.473
I5 I 0.262 0.238 0.926
I6 I 0.354 0.431 0.304
I7 I 0.355 0.125 0.460
I8 I 0.407 0.153 0.796
I9 I 0.499 0.192 0.296
```

=====

Below is a relaxed Pu3Hg5I12 crystal, with properties calculated at the PBE level.

## Properties
The crystal system is cubic. Its uncorrected formation energy is -8.72 eV per formula unit. Its calculated total energy is -574.59 eV per cell.

The structure in CIF format:
```
data_Pu3Hg5I12
_chemical_formula_sum 'Pu24 Hg40 I96'
_space_group_name_H-M_alt 'I a -3 d'
_space_group_IT_number 230
_space_group_name_Hall '-I 4bd 2c 3'
_cell_length_a 18.851
_cell_length_b 18.851
_cell_length_c 18.851
_cell_angle_alpha 90.00
_cell_angle_beta 90.00
_cell_angle_gamma 90.00
loop_
_atom_site_label
_atom_site_type_symbol
_atom_site_fract_x
_atom_site_fract_y
_atom_site_fract_z
Pu1 Pu 0.000 0.250 0.125
Hg1 Hg 0.000 0.000 0.000
Hg2 Hg 0.000 0.250 0.375
I1 I 0.020 0.075 0.654
```

=====

Below is a relaxed PuHgI6 crystal, with properties calculated at the PBE level.

## Properties
The crystal system is monoclinic. Its uncorrected formation energy is -4.58 eV per formula unit. Its energy above the most stable polymorph in this dataset is 0.000 eV per atom. Its calculated total energy is -57.03 eV per cell.

The structure in CIF format:
```
data_PuHgI6
_chemical_formula_sum 'Pu2 Hg2 I12'
_space_group_name_H-M_alt 'C 1 2/m 1'
_space_group_IT_number 12
_space_group_name_Hall '-C 2y'
_cell_length_a 7.667
_cell_length_b 13.442
_cell_length_c 7.691
_cell_angle_alpha 90.00
_cell_angle_beta 112.39
_cell_angle_gamma 90.00
loop_
_atom_site_label
_atom_site_type_symbol
_atom_site_fract_x
_atom_site_fract_y
_atom_site_fract_z
Pu1 Pu 0.000 0.000 0.000
Hg1 Hg 0.000 0.500 0.500
I1 I 0.228 0.000 0.768
I2 I 0.241 0.342 0.745
```

=====

Below is a relaxed Pu4HgI8 crystal, with properties calculated at the PBE level.

## Properties
The crystal system is monoclinic. Its uncorrected formation energy is -11.96 eV per formula unit. Its calculated total energy is -163.97 eV per cell.

The structure in CIF format:
```
data_Pu4HgI8
_chemical_formula_sum 'Pu8 Hg2 I16'
_space_group_name_H-M_alt 'C 1 m 1'
_space_group_IT_number 8
_space_group_name_Hall 'C -2y'
_cell_length_a 21.939
_cell_length_b 4.407
_cell_length_c 15.203
_cell_angle_alpha 90.00
_cell_angle_beta 129.53
_cell_angle_gamma 90.00
loop_
_atom_site_label
_atom_site_type_symbol
_atom_site_fract_x
_atom_site_fract_y
_atom_site_fract_z
Pu1 Pu 0.000 0.000 0.000
Pu2 Pu 0.004 0.500 0.359
Pu3 Pu 0.177 0.000 0.696
Pu4 Pu 0.183 0.500 0.059
Hg1 Hg 0.341 0.500 0.528
I1 I 0.002 0.500 0.852
I2 I 0.044 0.500 0.602
I3 I 0.138 0.000 0.453
I4 I 0.182 0.000 0.207
I5 I 0.214 0.000 0.938
I6 I 0.308 0.500 0.781
I7 I 0.374 0.500 0.273
I8 I 0.469 0.000 0.119
```

=====

Below is a relaxed PuHg2I crystal, with properties calculated at the PBE level.

## Properties
The crystal system is trigonal. Its uncorrected formation energy is 0.70 eV per formula unit. Its calculated total energy is -47.36 eV per cell.

The structure in CIF format:
```
data_PuHg2I
_chemical_formula_sum 'Pu3 Hg6 I3'
_space_group_name_H-M_alt 'R -3 m'
_space_group_IT_number 166
_space_group_name_Hall '-R 3 2"'
_cell_length_a 3.6746
_cell_length_b 3.6746
_cell_length_c 34.1538
_cell_angle_alpha 90.00
_cell_angle_beta 90.00
_cell_angle_gamma 120.00
loop_
_atom_site_label
_atom_site_type_symbol
_atom_site_fract_x
_atom_site_fract_y
_atom_site_fract_z
Pu1 Pu 0.0000 0.0000 0.0000
Hg1 Hg 0.0000 0.0000 0.0910
I1 I 0.0000 0.0000 0.5000
```

=====

Below is a relaxed RbPuHgI3 crystal, with properties calculated at the PBE level.

## Properties
The crystal system is monoclinic. Its uncorrected formation energy is -5.62 eV per formula unit. Its calculated total energy is -103.48 eV per cell.

The structure in CIF format:
```
data_RbPuHgI3
_chemical_formula_sum 'Rb4 Pu4 Hg4 I12'
_space_group_name_H-M_alt 'C 1 2/m 1'
_space_group_IT_number 12
_space_group_name_Hall '-C 2y'
_cell_length_a 9.769
_cell_length_b 8.452
_cell_length_c 12.501
_cell_angle_alpha 90.00
_cell_angle_beta 102.58
_cell_angle_gamma 90.00
loop_
_atom_site_label
_atom_site_type_symbol
_atom_site_fract_x
_atom_site_fract_y
_atom_site_fract_z
Rb1 Rb 0.167 0.000 0.329
Pu1 Pu 0.171 0.500 0.084
Hg1 Hg 0.000 0.303 0.500
I1 I 0.086 0.268 0.867
I2 I 0.246 0.000 0.652
```

=====

Below is a relaxed RbPu2HgI8 crystal, with properties calculated at the PBE level.

## Properties
The crystal system is triclinic. Its uncorrected formation energy is -11.25 eV per formula unit. Its calculated total energy is -53.58 eV per cell.

The structure in CIF format:
```
data_RbPu2HgI8
_chemical_formula_sum 'Rb1 Pu2 Hg1 I8'
_space_group_name_H-M_alt 'P -1'
_space_group_IT_number 2
_space_group_name_Hall '-P 1'
_cell_length_a 7.551
_cell_length_b 8.765
_cell_length_c 9.148
_cell_angle_alpha 89.92
_cell_angle_beta 89.91
_cell_angle_gamma 89.44
loop_
_atom_site_label
_atom_site_type_symbol
_atom_site_fract_x
_atom_site_fract_y
_atom_site_fract_z
Rb1 Rb 0.000 0.000 0.000
Pu1 Pu 0.500 0.500 0.252
Hg1 Hg 0.000 0.000 0.500
I1 I 0.256 0.384 0.500
I2 I 0.256 0.385 0.000
I3 I 0.308 0.799 0.252
I4 I 0.308 0.799 0.747
```

=====

Below is a relaxed PuSnHgI6 crystal, with properties calculated at the PBE level.

## Properties
The crystal system is trigonal. Its uncorrected formation energy is -5.80 eV per formula unit. Its calculated total energy is -33.74 eV per cell.

The structure in CIF format:
```
data_PuSnHgI6
_chemical_formula_sum 'Pu1 Sn1 Hg1 I6'
_space_group_name_H-M_alt 'P 3 1 2'
_space_group_IT_number 149
_space_group_name_Hall 'P 3 2'
_cell_length_a 7.9723
_cell_length_b 7.9723
_cell_length_c 8.2177
_cell_angle_alpha 90.00
_cell_angle_beta 90.00
_cell_angle_gamma 120.00
loop_
_atom_site_label
_atom_site_type_symbol
_atom_site_fract_x
_atom_site_fract_y
_atom_site_fract_z
Pu1 Pu 0.0000 0.0000 0.0000
Sn1 Sn 0.3333 0.6667 0.0000
Hg1 Hg 0.6667 0.3333 0.5000
I1 I 0.0203 0.3212 0.7876
```

=====

Below is a relaxed PuTl2HgI6 crystal, with properties calculated at the PBE level.

## Properties
The crystal system is trigonal. Its uncorrected formation energy is -6.88 eV per formula unit. Its calculated total energy is -106.63 eV per cell.

The structure in CIF format:
```
data_PuTl2HgI6
_chemical_formula_sum 'Pu3 Tl6 Hg3 I18'
_space_group_name_H-M_alt 'R 3'
_space_group_IT_number 146
_space_group_name_Hall 'R 3'
_cell_length_a 8.6140
_cell_length_b 8.6140
_cell_length_c 22.5784
_cell_angle_alpha 90.00
_cell_angle_beta 90.00
_cell_angle_gamma 120.00
loop_
_atom_site_label
_atom_site_type_symbol
_atom_site_fract_x
_atom_site_fract_y
_atom_site_fract_z
Pu1 Pu 0.0000 0.0000 0.0000
Tl1 Tl 0.0000 0.0000 0.3200
Tl2 Tl 0.0000 0.0000 0.8050
Hg1 Hg 0.0000 0.0000 0.5083
I1 I 0.0274 0.3941 0.7428
I2 I 0.0564 0.6782 0.5857
```

=====

Below is a relaxed RbHg4I crystal, with properties calculated at the PBE level.

## Properties
The crystal system is cubic. Its uncorrected formation energy is -2.42 eV per formula unit. Its calculated total energy is -24.57 eV per cell.

The structure in CIF format:
```
data_RbHg4I
_chemical_formula_sum 'Rb4 Hg16 I4'
_space_group_name_H-M_alt 'F -4 3 m'
_space_group_IT_number 216
_space_group_name_Hall 'F -4 2 3'
_cell_length_a 9.554
_cell_length_b 9.554
_cell_length_c 9.554
_cell_angle_alpha 90.00
_cell_angle_beta 90.00
_cell_angle_gamma 90.00
loop_
_atom_site_label
_atom_site_type_symbol
_atom_site_fract_x
_atom_site_fract_y
_atom_site_fract_z
Rb1 Rb 0.000 0.000 0.000
Hg1 Hg 0.124 0.124 0.376
I1 I 0.250 0.250 0.750
```

=====

Below is a relaxed Rb2HgI5 crystal, with properties calculated at the PBE level.

## Properties
The crystal system is orthorhombic. Its uncorrected formation energy is -5.83 eV per formula unit. Its calculated total energy is -63.28 eV per cell.

The structure in CIF format:
```
data_Rb2HgI5
_chemical_formula_sum 'Rb8 Hg4 I20'
_space_group_name_H-M_alt 'C m c m'
_space_group_IT_number 63
_space_group_name_Hall '-C 2c 2'
_cell_length_a 6.979
_cell_length_b 17.496
_cell_length_c 14.416
_cell_angle_alpha 90.00
_cell_angle_beta 90.00
_cell_angle_gamma 90.00
loop_
_atom_site_label
_atom_site_type_symbol
_atom_site_fract_x
_atom_site_fract_y
_atom_site_fract_z
Rb1 Rb 0.000 0.172 0.098
Hg1 Hg 0.000 0.160 0.750
I1 I 0.000 0.039 0.604
I2 I 0.000 0.282 0.611
I3 I 0.000 0.338 0.250
```